VASP calculation (PBE-GGA) on a geometry-optimized Cd2RuN structure.

Crystal system   cubic
M_tot   0.2476 μB per atom
Energy above the lowest structure with this stoichiometry   806 meV per atom

Lattice parameters (Å, degrees): 4.517 4.517 4.517 60.00 60.00 60.00
Atoms (fractional coordinates):
Cd  0.250  0.250  0.250
Cd  0.750  0.750  0.750
Ru  0.000  0.000  0.000
N  0.500  0.500  0.500

VASP calculation (PBE-GGA) on a geometry-optimized Cd2RuN2 structure.

Crystal system   tetragonal
M_tot   0.7349 μB per atom
Energy above the lowest structure with this stoichiometry   178 meV per atom

Lattice parameters (Å, degrees): 7.063 7.063 2.890 90.00 90.00 90.00
Atoms (fractional coordinates):
Cd  0.141  0.359  0.000
Cd  0.359  0.859  0.000
Cd  0.641  0.141  0.000
Cd  0.859  0.641  0.000
Ru  0.000  0.000  0.000
Ru  0.500  0.500  0.000
N  0.163  0.663  0.500
N  0.337  0.163  0.500
N  0.663  0.837  0.500
N  0.837  0.337  0.500

VASP calculation (PBE-GGA) on a geometry-optimized Cd2RuN structure.

Crystal system   tetragonal
M_tot   0.0000 μB per atom
Energy above the lowest structure with this stoichiometry   0 meV per atom

Lattice parameters (Å, degrees): 6.574 6.574 6.574 94.71 94.71 146.69
Atoms (fractional coordinates):
Cd  0.375  0.247  0.372
Cd  0.753  0.125  0.128
Cd  0.875  0.003  0.628
Cd  0.997  0.625  0.872
Ru  0.250  0.750  0.500
Ru  0.500  0.500  0.000
N  0.000  0.000  0.000
N  0.750  0.250  0.500